{
  "formula": "MnAg2RuF8",
  "functional": "GGA+U",
  "state": "relaxed",
  "dos_at_fermi_per_ev_cell": 4.138,
  "total_energy_ev_per_atom": -4.832,
  "lattice_angstrom": [[5.2967, 0.0000, 0.0000], [0.0000, 6.7442, 0.0000], [-0.1680, 0.0000, 5.3390]],
  "species": ["Mn", "Ag", "Ag", "Ru", "F", "F", "F", "F", "F", "F", "F", "F"],
  "frac_coords": [[0.0000, 0.0000, 0.0000], [0.5000, 0.2446, 0.5000], [0.5000, 0.7554, 0.5000], [0.0000, 0.5000, 0.0000], [0.1682, 0.2748, 0.8274], [0.1682, 0.7252, 0.8274], [0.2647, 0.5000, 0.2551], [0.2750, 0.0000, 0.2685], [0.7250, 0.0000, 0.7315], [0.7353, 0.5000, 0.7449], [0.8318, 0.2748, 0.1726], [0.8318, 0.7252, 0.1726]]
}